Computed, not measured: crystalline HoEr3Ru3 at its relaxed geometry at the PBE level of DFT.

```
HoEr3Ru3
1.0
5.462 0.006 -1.930
-2.730 4.720 -1.932
-0.003 0.006 5.793
Ho Er Ru
1 3 3
Direct
0.000 0.418 0.000
0.415 0.003 0.000
0.585 0.589 0.585
0.000 0.003 0.415
0.500 0.504 0.000
0.500 0.004 0.500
0.000 0.504 0.500
```

Values from the calculation:
Calculated density, g/cm3: 10.8
Space group: R3m, No. 160
Energy above the most stable polymorph in this dataset, meV/atom: 0
Volume, Å³/atom: 21.36
Magnetic moment, μB/f.u.: 0.00
Calculated formation energy, eV/atom: -0.411


Computed, not measured: crystalline Ho2Er6Ru at its relaxed geometry at the PBE level of DFT.

```
Ho2Er6Ru
1.0
-2.982 1.419 -0.943
1.316 -2.850 -8.447
-4.690 -5.833 6.044
Ho Er Ru
2 6 1
Direct
0.500 0.674 0.348
0.500 0.326 0.652
0.000 0.332 0.326
0.000 0.006 0.674
0.000 0.668 0.674
0.500 0.252 0.000
0.000 0.994 0.326
0.500 0.748 0.000
0.000 0.000 0.000
```

Values from the calculation:
Calculated density, g/cm3: 9.1
Space group: Cmmm, No. 65
Volume, Å³/atom: 29.23
Magnetic moment, μB/f.u.: 0.00
Calculated formation energy, eV/atom: 0.105


Computed, not measured: crystalline HoEr5Ru4 at its relaxed geometry at the PBE level of DFT.

```
HoEr5Ru4
1.0
4.589 0.000 -1.457
-0.027 6.667 -0.084
-0.143 0.072 7.505
Ho Er Ru
1 5 4
Direct
0.500 0.000 0.000
0.167 0.003 0.333
0.167 0.502 0.334
0.833 0.498 0.666
0.500 0.500 0.000
0.833 0.997 0.667
0.665 0.751 0.330
0.999 0.250 0.998
0.335 0.249 0.670
0.001 0.750 0.002
```

Values from the calculation:
Calculated density, g/cm3: 10.2
Space group: C2/m, No. 12
Volume, Å³/atom: 22.82
Magnetic moment, μB/f.u.: 0.00
Calculated formation energy, eV/atom: -0.316